1.
First-principles (PBE) data for crystalline LaCdGeB2 at its relaxed geometry, as listed in Alexandria.

```
LaCdGeB2
1.0
4.359 0.000 0.000
0.000 4.359 0.000
0.000 0.000 5.632
La Cd Ge B
1 1 1 2
Direct
0.000 0.000 0.000
0.500 0.500 0.000
0.000 0.000 0.500
0.000 0.500 0.500
0.500 0.000 0.500
```

Values from the calculation:
For the formation energy, the calculation gives 539 kJ/mol of formula units.

2.
First-principles (PBE) data for crystalline NaCdGeB2 at its relaxed geometry, as listed in Alexandria.

```
NaCdGeB2
1.0
4.207 0.000 0.000
0.000 4.207 0.000
0.000 0.000 5.483
Na Cd Ge B
1 1 1 2
Direct
0.000 0.000 0.000
0.500 0.500 0.000
0.000 0.000 0.500
0.000 0.500 0.500
0.500 0.000 0.500
```

Values from the calculation:
For the formation energy, the calculation gives 613 kJ/mol of formula units.

3.
First-principles (PBE) data for crystalline Cd2GeBO at its relaxed geometry, as listed in Alexandria.

```
Cd2GeBO
1.0
4.483 0.000 0.000
0.000 4.483 0.000
0.000 0.000 4.339
Cd Ge B O
2 1 1 1
Direct
0.000 0.500 0.000
0.500 0.000 0.000
0.000 0.000 0.500
0.000 0.000 0.000
0.500 0.500 0.500
```

Values from the calculation:
Its formation energy (no corrections) is 0.471 eV/atom.

4.
First-principles (PBE) data for crystalline Cd2GeBPd6 at its relaxed geometry, as listed in Alexandria.

```
Cd2GeBPd6
1.0
5.619 0.000 0.000
2.757 5.076 0.000
2.113 1.021 5.764
Cd Ge B Pd
2 1 1 6
Direct
0.191 0.316 0.290
0.809 0.684 0.710
0.500 0.500 0.500
0.000 0.000 0.000
0.137 0.854 0.308
0.287 0.651 0.873
0.307 0.160 0.830
0.693 0.840 0.170
0.713 0.349 0.127
0.863 0.146 0.692
```

Values from the calculation:
For the formation energy, the calculation gives -317 kJ/mol of formula units.

Which formula does entry 2 have?
NaCdGeB2

Please write out number 4 again, unchanged.
First-principles (PBE) data for crystalline Cd2GeBPd6 at its relaxed geometry, as listed in Alexandria.

```
Cd2GeBPd6
1.0
5.619 0.000 0.000
2.757 5.076 0.000
2.113 1.021 5.764
Cd Ge B Pd
2 1 1 6
Direct
0.191 0.316 0.290
0.809 0.684 0.710
0.500 0.500 0.500
0.000 0.000 0.000
0.137 0.854 0.308
0.287 0.651 0.873
0.307 0.160 0.830
0.693 0.840 0.170
0.713 0.349 0.127
0.863 0.146 0.692
```

Values from the calculation:
For the formation energy, the calculation gives -317 kJ/mol of formula units.